VASP calculation (PBE-GGA) on a relaxed NaPm5Pb3 crystal.

abc: 9.7244 9.7244 6.6553
angles: 90.00 90.00 120.00
With the nearest neighbours (Å) after each atom.
Space group P6_3/mcm (No. 193)
Inequivalent atoms, fractional coordinates:
Na1 0.0000 0.0000 0.0000 [2 per cell]  2 Na 3.33, 6 Pm 3.49
Pm1 0.0000 0.3160 0.2500 [6 per cell]  5 Pb 3.24-3.34, 2 Na 3.49
Pm2 0.3333 0.6667 0.0000 [4 per cell]  8 Pm 3.33-3.72, 6 Pb 3.58
Pb1 0.0000 0.3475 0.7500 [6 per cell]  9 Pm 3.24-3.58

Output
Final energy   -4.46 eV/atom
N(E_F)   0.90 states/eV/atom
Formation energy from the elements   -41.84 kJ per mole of atoms